[1]
Computed, not measured: a geometry-optimized K2RbH structure at the PBE level of DFT.

Cell and atoms, written as POSCAR:
```
K2RbH
1.0
0.0000 4.7036 4.7036
4.7036 0.0000 4.7036
4.7036 4.7036 0.0000
K Rb H
2 1 1
Cartesian
2.3518 2.3518 2.3518
7.0554 7.0554 7.0554
0.0000 0.0000 0.0000
4.7036 4.7036 4.7036
```

The calculation puts the distance to the lowest polymorph of the same formula at 397 meV per atom. Its space group is No. 225. Its total energy is -1.2437 eV/atom.



[2]
Computed, not measured: a geometry-optimized SmThAs structure at the PBE level of DFT.

Cell and atoms, written as POSCAR:
```
SmThAs
1.0
4.0095 0.0000 0.0000
-2.0047 3.4723 0.0000
0.0000 0.0000 6.7137
Sm Th As
1 1 1
Cartesian
0.0000 0.0000 0.0000
2.0047 1.1574 3.1227
0.0000 2.3149 4.9494
```

Its space group is No. 156. Its total energy is -6.3304 eV/atom. The energy relative to the elements is -213 kJ/mol of formula units.



Number 2 is which compound? SmThAs